1.
This record from Alexandria describes Ti2NbCo after structural relaxation. The functional is PBE-GGA.

Lattice parameters (Å, degrees): 6.9316 6.9316 5.5906 51.69 51.69 90.00
Closest atoms and distances in Å follow each position.
Fractional coordinates of all 8 atoms:
Nb (0.0000, 0.0000, 0.0000)  2 Co 2.69, 4 Ti 2.76
Nb (0.7500, 0.2500, 0.5000)  2 Co 2.69, 4 Ti 2.76
Co (0.5000, 0.5000, 0.0000)  4 Ti 2.34
Co (0.2500, 0.7500, 0.5000)  4 Ti 2.34
Ti (0.5804, 0.1250, 0.2500)  2 Co 2.34
Ti (0.1696, 0.6250, 0.2500)  2 Co 2.34
Ti (0.3750, 0.4196, 0.7500)  2 Co 2.34
Ti (0.8750, 0.8304, 0.7500)  2 Co 2.34

**Space-group type**: No. 122
**Electronic total energy**: -64.74 eV per cell
**Energy above the most stable polymorph in this dataset**: 129 kJ/mol of formula units
**D(E_F)**: 6.05 states/eV/cell
**Energy of formation from the pure elements**: 0.149 eV/atom
**Size of the total moment**: 0.0 μB per cell

2.
This record from Alexandria describes TiNb3Co8 after structural relaxation. The functional is PBE-GGA.

Lattice parameters (Å, degrees): 4.7705 4.7705 7.7181 90.00 90.00 120.00
Closest atoms and distances in Å follow each position.
Fractional coordinates of all 12 atoms:
Ti (0.0000, 0.0000, 0.5615)  12 Co 2.75-2.79, 4 Nb 2.86-2.91
Nb (0.6667, 0.3333, 0.4382)  12 Co 2.76-2.80, 1 Nb 2.88, 3 Ti 2.91
Nb (0.6667, 0.3333, 0.0647)  12 Co 2.79-2.80, 4 Nb 2.88-2.94
Nb (0.0000, 0.0000, 0.9321)  12 Co 2.77-2.81, 1 Ti 2.86, 3 Nb 2.94
Co (0.3333, 0.6667, 0.5010)  6 Co 2.37-2.38
Co (0.3333, 0.6667, 0.0014)  6 Co 2.39-2.40
Co (0.5021, 0.0042, 0.7488)  6 Co 2.36-2.42
Co (0.5021, 0.4979, 0.7488)  6 Co 2.36-2.42
Co (0.9958, 0.4979, 0.7488)  6 Co 2.36-2.42
Co (0.1638, 0.3276, 0.2516)  6 Co 2.34-2.43
Co (0.1638, 0.8362, 0.2516)  6 Co 2.34-2.43
Co (0.6724, 0.8362, 0.2516)  6 Co 2.34-2.43

**Space-group type**: No. 156
**Electronic total energy**: -97.30 eV per cell
**D(E_F)**: 14.58 states/eV/cell
**Energy of formation from the pure elements**: -0.196 eV/atom
**Size of the total moment**: 4.6 μB per cell

3.
This record from Alexandria describes Ti2NbCo after structural relaxation. The functional is PBE-GGA.

Lattice parameters (Å, degrees): 2.8913 2.8913 9.1090 80.87 80.87 60.00
Closest atoms and distances in Å follow each position.
Fractional coordinates of all 4 atoms:
Nb (0.0000, 0.0000, 0.0000)  2 Ti 2.61, 6 Nb 2.89
Co (0.5000, 0.5000, 0.5000)  6 Ti 2.51
Ti (0.0971, 0.0971, 0.7086)  3 Co 2.51, 1 Nb 2.61
Ti (0.9029, 0.9029, 0.2914)  3 Co 2.51, 1 Nb 2.61

**Space-group type**: No. 166
**Electronic total energy**: -32.00 eV per cell
**Energy above the most stable polymorph in this dataset**: 165 kJ/mol of formula units
**D(E_F)**: 6.36 states/eV/cell
**Energy of formation from the pure elements**: 0.242 eV/atom
**Size of the total moment**: 0.0 μB per cell

4.
This record from Alexandria describes TiNbCo3 after structural relaxation. The functional is PBE-GGA.

Lattice parameters (Å, degrees): 4.2045 4.2045 4.2045 90.00 90.00 90.00
Closest atoms and distances in Å follow each position.
Fractional coordinates of all 5 atoms:
Nb (0.5000, 0.5000, 0.5000)  12 Co 2.97
Co (0.0000, 0.5000, 0.0000)  2 Ti 2.10
Co (0.0000, 0.0000, 0.5000)  2 Ti 2.10
Co (0.5000, 0.0000, 0.0000)  2 Ti 2.10
Ti (0.0000, 0.0000, 0.0000)  6 Co 2.10

**Space-group type**: No. 221
**Electronic total energy**: -35.11 eV per cell
**Energy above the most stable polymorph in this dataset**: 409 kJ/mol of formula units
**D(E_F)**: 5.67 states/eV/cell
**Energy of formation from the pure elements**: 0.835 eV/atom
**Size of the total moment**: 2.1 μB per cell

5.
This record from Alexandria describes Ti3NbCo after structural relaxation. The functional is PBE-GGA.

Lattice parameters (Å, degrees): 3.0808 6.6029 8.0320 102.28 101.13 90.01
Closest atoms and distances in Å follow each position.
Fractional coordinates of all 10 atoms:
Ti (0.6134, 0.9410, 0.4842)  2 Co 2.64, 2 Nb 2.80, 4 Ti 2.88-2.93
Ti (0.2171, 0.2836, 0.6912)  2 Co 2.64, 2 Nb 2.80, 4 Ti 2.88-2.93
Ti (0.4134, 0.3875, 0.0842)  4 Co 2.57-2.63, 4 Nb 2.83-2.87
Ti (0.2259, 0.7369, 0.7075)  2 Co 2.58-2.59, 4 Ti 2.70-2.88, 2 Nb 2.76
Ti (0.4171, 0.8371, 0.0912)  4 Co 2.57-2.63, 4 Nb 2.83-2.87
Ti (0.6046, 0.4878, 0.4678)  2 Co 2.58, 4 Ti 2.70-2.88, 2 Nb 2.76
Nb (0.8142, 0.0612, 0.8852)  9 Ti 2.76-3.09, 2 Nb 3.08
Nb (0.0163, 0.1634, 0.2901)  9 Ti 2.76-3.09, 2 Nb 3.08
Co (0.0122, 0.6659, 0.2812)  8 Ti 2.57-2.64
Co (0.8183, 0.5587, 0.8941)  8 Ti 2.57-2.64

**Space-group type**: No. 2
**Electronic total energy**: -83.07 eV per cell
**Energy above the most stable polymorph in this dataset**: 0 kJ/mol of formula units
**D(E_F)**: 12.71 states/eV/cell
**Energy of formation from the pure elements**: -0.135 eV/atom
**Size of the total moment**: 0.0 μB per cell

6.
This record from Alexandria describes TiNbCo3 after structural relaxation. The functional is PBE-GGA.

Lattice parameters (Å, degrees): 6.7836 6.4065 6.1812 90.00 90.00 90.00
Closest atoms and distances in Å follow each position.
Fractional coordinates of all 20 atoms:
Ti (0.3533, 0.5966, 0.7500)  6 Co 2.41-2.47
Ti (0.1467, 0.0966, 0.2500)  6 Co 2.41-2.47
Ti (0.6467, 0.4034, 0.2500)  6 Co 2.41-2.47
Ti (0.8533, 0.9034, 0.7500)  6 Co 2.41-2.47
Nb (0.0000, 0.5000, 0.0000)  6 Co 2.53-2.66
Nb (0.5000, 0.0000, 0.5000)  6 Co 2.53-2.66
Nb (0.5000, 0.0000, 0.0000)  6 Co 2.53-2.66
Nb (0.0000, 0.5000, 0.5000)  6 Co 2.53-2.66
Co (0.8455, 0.1447, 0.0506)  3 Ti 2.41-2.47, 3 Co 2.46-2.52, 2 Nb 2.53-2.54
Co (0.6545, 0.6447, 0.5506)  3 Ti 2.41-2.47, 3 Co 2.46-2.52, 2 Nb 2.53-2.54
Co (0.6545, 0.6447, 0.9494)  3 Ti 2.41-2.47, 3 Co 2.46-2.52, 2 Nb 2.53-2.54
Co (0.1545, 0.8553, 0.5506)  3 Ti 2.41-2.47, 3 Co 2.46-2.52, 2 Nb 2.53-2.54
Co (0.1545, 0.8553, 0.9494)  3 Ti 2.41-2.47, 3 Co 2.46-2.52, 2 Nb 2.53-2.54
Co (0.3455, 0.3553, 0.4494)  3 Ti 2.41-2.47, 3 Co 2.46-2.52, 2 Nb 2.53-2.54
Co (0.3455, 0.3553, 0.0506)  3 Ti 2.41-2.47, 3 Co 2.46-2.52, 2 Nb 2.53-2.54
Co (0.8455, 0.1447, 0.4494)  3 Ti 2.41-2.47, 3 Co 2.46-2.52, 2 Nb 2.53-2.54
Co (0.1458, 0.1984, 0.7500)  6 Co 2.51-2.78, 2 Nb 2.66, 1 Ti 2.74
Co (0.3542, 0.6984, 0.2500)  6 Co 2.51-2.78, 2 Nb 2.66, 1 Ti 2.74
Co (0.8542, 0.8016, 0.2500)  6 Co 2.51-2.78, 2 Nb 2.66, 1 Ti 2.74
Co (0.6458, 0.3016, 0.7500)  6 Co 2.51-2.78, 2 Nb 2.66, 1 Ti 2.74

**Space-group type**: No. 62
**Electronic total energy**: -157.38 eV per cell
**Energy above the most stable polymorph in this dataset**: 0 kJ/mol of formula units
**D(E_F)**: 26.46 states/eV/cell
**Energy of formation from the pure elements**: -0.012 eV/atom
**Size of the total moment**: 4.6 μB per cell

7.
This record from Alexandria describes Ti3NbCo after structural relaxation. The functional is PBE-GGA.

Lattice parameters (Å, degrees): 4.6760 4.6760 4.6760 90.00 90.00 90.00
Closest atoms and distances in Å follow each position.
Fractional coordinates of all 5 atoms:
Nb (0.0000, 0.0000, 0.0000)  6 Ti 2.34
Co (0.5000, 0.5000, 0.5000)  12 Ti 3.31
Ti (0.0000, 0.5000, 0.0000)  2 Nb 2.34
Ti (0.0000, 0.0000, 0.5000)  2 Nb 2.34
Ti (0.5000, 0.0000, 0.0000)  2 Nb 2.34

**Space-group type**: No. 221
**Electronic total energy**: -34.16 eV per cell
**Energy above the most stable polymorph in this dataset**: 711 kJ/mol of formula units
**D(E_F)**: 8.24 states/eV/cell
**Energy of formation from the pure elements**: 1.339 eV/atom
**Size of the total moment**: 0.0 μB per cell

8.
This record from Alexandria describes Ti2NbCo after structural relaxation. The functional is PBE-GGA.

Lattice parameters (Å, degrees): 3.8908 3.8908 5.5372 69.43 69.43 60.00
Closest atoms and distances in Å follow each position.
Fractional coordinates of all 4 atoms:
Ti (0.0590, 0.0590, 0.8229)  3 Co 2.35
Ti (0.2710, 0.2710, 0.1871)  3 Co 2.53
Nb (0.4896, 0.4896, 0.5311)  6 Ti 2.69-2.84, 1 Co 2.90
Co (0.6804, 0.6804, 0.9589)  6 Ti 2.35-2.53

**Space-group type**: No. 160
**Electronic total energy**: -32.30 eV per cell
**Energy above the most stable polymorph in this dataset**: 135 kJ/mol of formula units
**D(E_F)**: 3.42 states/eV/cell
**Energy of formation from the pure elements**: 0.165 eV/atom
**Size of the total moment**: 0.0 μB per cell

> Which formula does entry 6 have?

TiNbCo3

> Which value of electronic total energy does entry 4 give?

-35.11 eV per cell

What did the fourth record say?
This record from Alexandria describes TiNbCo3 after structural relaxation. The functional is PBE-GGA.

Lattice parameters (Å, degrees): 4.2045 4.2045 4.2045 90.00 90.00 90.00
Closest atoms and distances in Å follow each position.
Fractional coordinates of all 5 atoms:
Nb (0.5000, 0.5000, 0.5000)  12 Co 2.97
Co (0.0000, 0.5000, 0.0000)  2 Ti 2.10
Co (0.0000, 0.0000, 0.5000)  2 Ti 2.10
Co (0.5000, 0.0000, 0.0000)  2 Ti 2.10
Ti (0.0000, 0.0000, 0.0000)  6 Co 2.10

**Space-group type**: No. 221
**Electronic total energy**: -35.11 eV per cell
**Energy above the most stable polymorph in this dataset**: 409 kJ/mol of formula units
**D(E_F)**: 5.67 states/eV/cell
**Energy of formation from the pure elements**: 0.835 eV/atom
**Size of the total moment**: 2.1 μB per cell